1.
DFT (PBE) results for a geometry-optimized YBi2Ru structure.

Properties
offset from the most stable computed form: 0.183 eV per atom
volume: 26.5 Å³/atom
theoretical density: 9.54 g/cm³
ΔH_f (0 K): 168 meV per atom

POSCAR file:
```
YBi2Ru
1.0
4.5242 0.0000 0.0000
0.0000 4.5242 0.0000
0.0000 0.0000 20.6766
Y Bi Ru
4 8 4
Cartesian
0.0000 0.0000 0.0000
0.0000 2.2621 5.1691
2.2621 0.0000 15.5074
2.2621 2.2621 10.3383
1.0154 1.1310 12.9229
1.1310 3.2775 18.0920
1.1310 3.5088 7.7537
1.2467 1.1310 2.5846
3.2775 3.3931 2.5846
3.3931 1.0154 7.7537
3.3931 1.2467 18.0920
3.5088 3.3931 12.9229
0.0000 0.0000 10.3383
0.0000 2.2621 15.5074
2.2621 0.0000 5.1691
2.2621 2.2621 0.0000
```


2.
DFT (PBE) results for a geometry-optimized Ce2YNpS4 structure.

Properties
raw formation energy: -15.0 eV/f.u.
volume: 22.0 Å³/atom
theoretical density: 6.92 g/cm³

POSCAR file:
```
Ce2YNpS4
1.0
6.8663 0.0000 0.0000
0.0000 3.9588 0.0000
-2.2915 0.0000 6.4824
Ce Y Np S
2 1 1 4
Cartesian
0.0000 0.0000 0.0000
3.4332 1.9794 0.0000
-1.1458 1.9794 3.2412
2.2874 0.0000 3.2412
-0.0083 0.0000 4.8027
1.1430 1.9794 1.6883
3.4318 1.9794 4.7941
4.5831 0.0000 1.6797
```


3.
DFT (PBE) results for a geometry-optimized KCuHg2 structure.

Properties
offset from the most stable computed form: 0.235 eV per atom
volume: 26.8 Å³/atom
theoretical density: 7.79 g/cm³
ΔH_f (0 K): 156 meV per atom

POSCAR file:
```
KCuHg2
1.0
7.5439 0.0000 0.0000
0.0000 7.5439 0.0000
0.0000 0.0000 7.5439
K Cu Hg
4 4 8
Cartesian
0.0000 0.0000 0.0000
0.0000 3.7720 3.7720
3.7720 0.0000 3.7720
3.7720 3.7720 0.0000
1.8860 1.8860 1.8860
1.8860 5.6579 5.6579
5.6579 1.8860 5.6579
5.6579 5.6579 1.8860
0.0000 0.0000 3.7720
0.0000 3.7720 0.0000
1.8860 1.8860 5.6579
1.8860 5.6579 1.8860
3.7720 0.0000 0.0000
3.7720 3.7720 3.7720
5.6579 1.8860 1.8860
5.6579 5.6579 5.6579
```


4.
DFT (PBE) results for a geometry-optimized TbNd3N3 structure.

Properties
raw formation energy: -6.6 eV/f.u.
volume: 22.0 Å³/atom
theoretical density: 6.82 g/cm³

POSCAR file:
```
TbNd3N3
1.0
3.7750 -5.3590 0.0000
3.7750 5.3590 0.0000
-1.8346 0.0000 7.6255
Tb Nd N
2 6 6
Cartesian
1.0978 0.0000 1.5148
4.6175 0.0000 6.1107
0.1661 0.0000 4.8900
2.8577 2.1345 3.8128
3.7750 1.8035 0.0000
3.7750 -1.8035 0.0000
2.8577 -2.1345 3.8128
5.5493 0.0000 2.7355
0.4602 1.4696 3.0310
0.4602 -1.4696 3.0310
2.2920 0.0000 6.0057
3.4233 0.0000 1.6198
5.2551 1.4696 4.5945
5.2551 -1.4696 4.5945
```


| no. | E (eV per atom) |
| --- | --- |
| 1 | -5.7070 |
| 2 | -7.8480 |
| 3 | -1.2929 |
| 4 | -7.2166 |